[1]
Entry from Alexandria via LeMat-Bulk: PrTmHgTe after structural relaxation (PBE).

The space group is R3m (No. 160, hexagonal axes) and the conventional cell measures 4.2244, 4.2244 and 23.4382 Å, with angles of 90.00, 90.00 and 120.00 degrees. The inequivalent atoms are Pr at (0.0000, 0.0000, 0.0000), Tm at (0.0000, 0.0000, 0.5005), Hg at (0.0000, 0.0000, 0.2453) and Te at (0.0000, 0.0000, 0.7556).

The calculation puts the energy relative to the elements, uncorrected at -0.85 eV per atom. As for the energy: -0.296 Ry per atom. The calculated density comes out at 8.77 g/cm3.

***

[2]
Entry from Alexandria via LeMat-Bulk: Pr2TmHgTe5 after structural relaxation (PBE).

The space group is Cmc2_1 (No. 36) and the conventional cell measures 4.382, 19.168 and 13.568 Å, with angles of 90.00, 90.00 and 90.00 degrees. The inequivalent atoms are Pr at (0.000, 0.119, 0.000), Pr at (0.000, 0.129, 0.621), Tm at (0.000, 0.194, 0.322), Hg at (0.000, 0.438, 0.780), Te at (0.000, 0.044, 0.409), Te at (0.000, 0.289, 0.979), Te at (0.000, 0.301, 0.658), Te at (0.000, 0.354, 0.316) and Te at (0.000, 0.499, 0.595).

The calculation puts the energy relative to the elements, uncorrected at -1.10 eV per atom. As for the energy: -0.326 Ry per atom. The calculated density comes out at 7.52 g/cm3.

***

[3]
Entry from Alexandria via LeMat-Bulk: PrYHgTe after structural relaxation (PBE).

The space group is R3m (No. 160, hexagonal axes) and the conventional cell measures 4.2650, 4.2650 and 23.4526 Å, with angles of 90.00, 90.00 and 120.00 degrees. The inequivalent atoms are Pr at (0.0000, 0.0000, 0.0000), Y at (0.0000, 0.0000, 0.5010), Hg at (0.0000, 0.0000, 0.7536) and Te at (0.0000, 0.0000, 0.2464).

The calculation puts the energy relative to the elements, uncorrected at -0.90 eV per atom. As for the energy: -0.336 Ry per atom. The calculated density comes out at 7.52 g/cm3.

***

[4]
Entry from Alexandria via LeMat-Bulk: Pr3ThHg6 after structural relaxation (PBE).

The space group is P2_1/m (No. 11) and the conventional cell measures 9.562, 5.291 and 11.452 Å, with angles of 90.00, 107.16 and 90.00 degrees. The inequivalent atoms are Pr at (0.011, 0.250, 0.388), Pr at (0.150, 0.750, 0.205), Pr at (0.272, 0.250, 0.996), Th at (0.435, 0.250, 0.617), Hg at (0.039, 0.750, 0.908), Hg at (0.153, 0.250, 0.708), Hg at (0.263, 0.750, 0.494), Hg at (0.347, 0.250, 0.317), Hg at (0.359, 0.750, 0.799) and Hg at (0.440, 0.750, 0.096).

As for the energy: -0.200 Ry per atom. The value obtained for the formation enthalpy at 0 K is -3.7 eV/f.u. The calculated density comes out at 11.15 g/cm3.

***

[5]
Entry from Alexandria via LeMat-Bulk: PrTh2Hg4 after structural relaxation (PBE).

The space group is I4/mmm (No. 139) and the conventional cell measures 5.253, 5.253 and 15.257 Å, with angles of 90.00, 90.00 and 90.00 degrees. The inequivalent atoms are Pr at (0.000, 0.000, 0.000), Th at (0.000, 0.000, 0.259) and Hg at (0.000, 0.500, 0.117).

As for the energy: -0.232 Ry per atom. The value obtained for the formation enthalpy at 0 K is -1.3 eV/f.u. The calculated density comes out at 11.10 g/cm3.

***

[6]
Entry from Alexandria via LeMat-Bulk: Pr3ThHg4 after structural relaxation (PBE).

The space group is P4/mmm (No. 123) and the conventional cell measures 3.846, 3.846 and 15.472 Å, with angles of 90.00, 90.00 and 90.00 degrees. The inequivalent atoms are Pr at (0.000, 0.000, 0.000), Pr at (0.000, 0.000, 0.251), Th at (0.000, 0.000, 0.500), Hg at (0.500, 0.500, 0.125) and Hg at (0.500, 0.500, 0.376).

As for the energy: -0.240 Ry per atom. The value obtained for the formation enthalpy at 0 K is -3.2 eV/f.u. The calculated density comes out at 10.57 g/cm3.

***

[7]
Entry from Alexandria via LeMat-Bulk: Pr2ThHg after structural relaxation (PBE).

The space group is P4/mmm (No. 123) and the conventional cell measures 4.962, 4.962 and 4.956 Å, with angles of 90.00, 90.00 and 90.00 degrees. The inequivalent atoms are Pr at (0.000, 0.500, 0.000), Th at (0.000, 0.000, 0.500) and Hg at (0.500, 0.500, 0.500).

As for the energy: -0.325 Ry per atom. The value obtained for the formation enthalpy at 0 K is -0.4 eV/f.u. As for the energy above the most stable polymorph in this dataset: 0.133 eV/atom. The calculated density comes out at 9.72 g/cm3.

***

[8]
Entry from Alexandria via LeMat-Bulk: PrTh2Hg after structural relaxation (PBE).

The space group is R-3m (No. 166, hexagonal axes) and the conventional cell measures 3.4425, 3.4425 and 36.9106 Å, with angles of 90.00, 90.00 and 120.00 degrees. The inequivalent atoms are Pr at (0.0000, 0.0000, 0.0000), Th at (0.0000, 0.0000, 0.0937) and Hg at (0.0000, 0.0000, 0.5000).

As for the energy: -0.355 Ry per atom. The value obtained for the formation enthalpy at 0 K is 0.6 eV/f.u. As for the energy above the most stable polymorph in this dataset: 0.216 eV/atom. The calculated density comes out at 10.59 g/cm3.

***

[9]
Entry from Alexandria via LeMat-Bulk: PrThHg5 after structural relaxation (PBE).

The space group is P4/mmm (No. 123) and the conventional cell measures 4.864, 4.864 and 8.360 Å, with angles of 90.00, 90.00 and 90.00 degrees. The inequivalent atoms are Pr at (0.000, 0.000, 0.000), Th at (0.500, 0.500, 0.500), Hg at (0.000, 0.000, 0.500) and Hg at (0.000, 0.500, 0.243).

As for the energy: -0.158 Ry per atom. The value obtained for the formation enthalpy at 0 K is -1.3 eV/f.u. The calculated density comes out at 11.55 g/cm3.

***

[10]
Entry from Alexandria via LeMat-Bulk: PrThHg2 after structural relaxation (PBE).

The space group is P4/mmm (No. 123) and the conventional cell measures 3.835, 3.835 and 7.714 Å, with angles of 90.00, 90.00 and 90.00 degrees. The inequivalent atoms are Pr at (0.000, 0.000, 0.000), Th at (0.000, 0.000, 0.500) and Hg at (0.500, 0.500, 0.251).

As for the energy: -0.259 Ry per atom. The value obtained for the formation enthalpy at 0 K is -1.3 eV/f.u. As for the energy above the most stable polymorph in this dataset: 0.000 eV/atom. The calculated density comes out at 11.33 g/cm3.

***

[11]
Entry from Alexandria via LeMat-Bulk: Pr2ThHg after structural relaxation (PBE).

The space group is Fm-3m (No. 225) and the conventional cell measures 7.898, 7.898 and 7.898 Å, with angles of 90.00, 90.00 and 90.00 degrees. The inequivalent atoms are Pr at (0.250, 0.250, 0.250), Th at (0.000, 0.000, 0.000) and Hg at (0.000, 0.000, 0.500).

As for the energy: -0.315 Ry per atom. The value obtained for the formation enthalpy at 0 K is 0.1 eV/f.u. As for the energy above the most stable polymorph in this dataset: 0.267 eV/atom. The calculated density comes out at 9.63 g/cm3.

***

[12]
Entry from Alexandria via LeMat-Bulk: Pr2ThHg after structural relaxation (PBE).

The space group is R-3m (No. 166, hexagonal axes) and the conventional cell measures 3.5124, 3.5124 and 36.4258 Å, with angles of 90.00, 90.00 and 120.00 degrees. The inequivalent atoms are Pr at (0.0000, 0.0000, 0.0950), Th at (0.0000, 0.0000, 0.0000) and Hg at (0.0000, 0.0000, 0.5000).

As for the energy: -0.311 Ry per atom. The value obtained for the formation enthalpy at 0 K is 0.4 eV/f.u. As for the energy above the most stable polymorph in this dataset: 0.323 eV/atom. The calculated density comes out at 9.15 g/cm3.